Entry from Alexandria: crystalline LiMoCl4 at its relaxed geometry (PBE).

Results
- volume (Å³ per atom) = 24.88
- formation energy (no corrections) (eV per atom) = 0.607
- excess energy over the best structure of this formula in the dataset (eV/atom) = 1.749
- SG = F-43m, No. 216
- electronic total energy (eV/atom) = -2.748
- density of states at the Fermi level (states/eV/cell) = 7.660

Unit cell a=5.955 b=5.955 c=5.955 alpha=60.00 beta=60.00 gamma=60.00
Sites, in units of the cell vectors:
Li: 0.000 0.000 0.000
Mo: 0.750 0.750 0.750
Cl: 0.375 0.375 0.375
Cl: 0.375 0.375 0.874
Cl: 0.375 0.874 0.375
Cl: 0.874 0.375 0.375